(1)
# Ca4Pb GGA-PBE relaxed
data_Ca4Pb
_symmetry_space_group_name_H-M 'P 1'
_symmetry_Int_Tables_number 1
_cell_length_a 6.083
_cell_length_b 6.083
_cell_length_c 6.083
_cell_angle_alpha 90.00
_cell_angle_beta 90.00
_cell_angle_gamma 90.00
loop_
_symmetry_equiv_pos_as_xyz
'x,y,z'
loop_
_atom_site_label
_atom_site_type_symbol
_atom_site_fract_x
_atom_site_fract_y
_atom_site_fract_z
_atom_site_occupancy
Ca1 Ca 0.000 0.000 0.000 1
Ca2 Ca 0.000 0.500 0.500 1
Ca3 Ca 0.500 0.000 0.500 1
Ca4 Ca 0.500 0.500 0.000 1
Pb1 Pb 0.500 0.500 0.500 1
# - Formation enthalpy at 0 K: -0.329 eV/f.u.
# - N(E_F): 6.00 states/eV per cell
# - Raw total energy: -2.41 eV per atom

(2)
# Ca5Pb3 GGA-PBE relaxed
data_Ca5Pb3
_symmetry_space_group_name_H-M 'P 1'
_symmetry_Int_Tables_number 1
_cell_length_a 9.711
_cell_length_b 9.711
_cell_length_c 9.711
_cell_angle_alpha 129.57
_cell_angle_beta 129.57
_cell_angle_gamma 74.10
loop_
_symmetry_equiv_pos_as_xyz
'x,y,z'
loop_
_atom_site_label
_atom_site_type_symbol
_atom_site_fract_x
_atom_site_fract_y
_atom_site_fract_z
_atom_site_occupancy
Ca1 Ca 0.000 0.000 0.000 1
Ca2 Ca 0.028 0.528 0.844 1
Ca3 Ca 0.184 0.028 0.500 1
Ca4 Ca 0.316 0.816 0.844 1
Ca5 Ca 0.472 0.316 0.500 1
Ca6 Ca 0.500 0.500 0.000 1
Ca7 Ca 0.528 0.684 0.500 1
Ca8 Ca 0.684 0.184 0.156 1
Ca9 Ca 0.816 0.972 0.500 1
Ca10 Ca 0.972 0.472 0.156 1
Pb1 Pb 0.130 0.370 0.500 1
Pb2 Pb 0.250 0.250 0.000 1
Pb3 Pb 0.370 0.870 0.239 1
Pb4 Pb 0.630 0.130 0.761 1
Pb5 Pb 0.750 0.750 0.000 1
Pb6 Pb 0.870 0.630 0.500 1
# - Formation enthalpy at 0 K: -4.235 eV/f.u.
# - N(E_F): 12.24 states/eV per cell
# - Raw total energy: -3.17 eV per atom

(3)
# Ca2Pb3 GGA-PBE relaxed
data_Ca2Pb3
_symmetry_space_group_name_H-M 'P 1'
_symmetry_Int_Tables_number 1
_cell_length_a 5.352
_cell_length_b 5.352
_cell_length_c 6.693
_cell_angle_alpha 90.00
_cell_angle_beta 90.00
_cell_angle_gamma 120.00
loop_
_symmetry_equiv_pos_as_xyz
'x,y,z'
loop_
_atom_site_label
_atom_site_type_symbol
_atom_site_fract_x
_atom_site_fract_y
_atom_site_fract_z
_atom_site_occupancy
Ca1 Ca 0.333 0.667 0.340 1
Ca2 Ca 0.667 0.333 0.660 1
Pb1 Pb 0.000 0.000 0.500 1
Pb2 Pb 0.333 0.667 0.860 1
Pb3 Pb 0.667 0.333 0.140 1
# - Formation enthalpy at 0 K: -1.419 eV/f.u.
# - N(E_F): 3.43 states/eV per cell
# - Raw total energy: -3.31 eV per atom

(4)
# Ca5Pb4 GGA-PBE relaxed
data_Ca5Pb4
_symmetry_space_group_name_H-M 'P 1'
_symmetry_Int_Tables_number 1
_cell_length_a 9.551
_cell_length_b 9.551
_cell_length_c 7.089
_cell_angle_alpha 90.00
_cell_angle_beta 90.00
_cell_angle_gamma 120.00
loop_
_symmetry_equiv_pos_as_xyz
'x,y,z'
loop_
_atom_site_label
_atom_site_type_symbol
_atom_site_fract_x
_atom_site_fract_y
_atom_site_fract_z
_atom_site_occupancy
Ca1 Ca 0.000 0.292 0.250 1
Ca2 Ca 0.000 0.708 0.750 1
Ca3 Ca 0.292 0.000 0.250 1
Ca4 Ca 0.292 0.292 0.750 1
Ca5 Ca 0.333 0.667 0.000 1
Ca6 Ca 0.333 0.667 0.500 1
Ca7 Ca 0.667 0.333 0.000 1
Ca8 Ca 0.667 0.333 0.500 1
Ca9 Ca 0.708 0.000 0.750 1
Ca10 Ca 0.708 0.708 0.250 1
Pb1 Pb 0.000 0.000 0.000 1
Pb2 Pb 0.000 0.000 0.500 1
Pb3 Pb 0.000 0.370 0.750 1
Pb4 Pb 0.000 0.630 0.250 1
Pb5 Pb 0.370 0.000 0.750 1
Pb6 Pb 0.370 0.370 0.250 1
Pb7 Pb 0.630 0.000 0.250 1
Pb8 Pb 0.630 0.630 0.750 1
# - Formation enthalpy at 0 K: -4.556 eV/f.u.
# - N(E_F): 9.53 states/eV per cell
# - Raw total energy: -3.27 eV per atom

(5)
# CaPb5 GGA-PBE relaxed
data_CaPb5
_symmetry_space_group_name_H-M 'P 1'
_symmetry_Int_Tables_number 1
_cell_length_a 6.550
_cell_length_b 6.550
_cell_length_c 6.550
_cell_angle_alpha 60.00
_cell_angle_beta 60.00
_cell_angle_gamma 60.00
loop_
_symmetry_equiv_pos_as_xyz
'x,y,z'
loop_
_atom_site_label
_atom_site_type_symbol
_atom_site_fract_x
_atom_site_fract_y
_atom_site_fract_z
_atom_site_occupancy
Ca1 Ca 0.000 0.000 0.000 1
Pb1 Pb 0.374 0.374 0.374 1
Pb2 Pb 0.374 0.374 0.877 1
Pb3 Pb 0.374 0.877 0.374 1
Pb4 Pb 0.750 0.750 0.750 1
Pb5 Pb 0.877 0.374 0.374 1
# - Formation enthalpy at 0 K: -0.435 eV/f.u.
# - N(E_F): 2.81 states/eV per cell
# - Raw total energy: -3.50 eV per atom

(6)
# CaPb3 GGA-PBE relaxed
data_CaPb3
_symmetry_space_group_name_H-M 'P 1'
_symmetry_Int_Tables_number 1
_cell_length_a 6.661
_cell_length_b 6.661
_cell_length_c 6.661
_cell_angle_alpha 147.58
_cell_angle_beta 62.37
_cell_angle_gamma 128.29
loop_
_symmetry_equiv_pos_as_xyz
'x,y,z'
loop_
_atom_site_label
_atom_site_type_symbol
_atom_site_fract_x
_atom_site_fract_y
_atom_site_fract_z
_atom_site_occupancy
Ca1 Ca 0.000 0.000 0.000 1
Pb1 Pb 0.400 0.646 0.754 1
Pb2 Pb 0.499 0.999 0.500 1
Pb3 Pb 0.892 0.646 0.246 1
# - Formation enthalpy at 0 K: -0.955 eV/f.u.
# - N(E_F): 2.57 states/eV per cell
# - Raw total energy: -3.52 eV per atom

Q: N(E_F) of number 1 (Ca4Pb)?
A: 6.00 states/eV per cell

Q: The lowest raw total energy belongs to which entry?
A: CaPb3